YNbIn, optimized geometry, DFT PBE; space-group type = F-43m
1.0
7.041 0.000 0.000
0.000 7.041 0.000
0.000 0.000 7.041
Y Nb In
4 4 4
Direct
0.000 0.000 0.000 Y
0.000 0.500 0.500 Y
0.500 0.000 0.500 Y
0.500 0.500 0.000 Y
0.250 0.250 0.250 Nb
0.250 0.750 0.750 Nb
0.750 0.250 0.750 Nb
0.750 0.750 0.250 Nb
0.250 0.250 0.750 In
0.250 0.750 0.250 In
0.750 0.250 0.250 In
0.750 0.750 0.750 In

***

LaNdNO, optimized geometry, DFT PBE; space-group type = P4/nmm
1.0
4.318 0.000 0.000
0.000 4.318 0.000
0.000 0.000 8.509
La Nd N O
2 2 2 2
Direct
0.250 0.750 0.000 La
0.750 0.250 0.000 La
0.250 0.250 0.385 Nd
0.750 0.750 0.615 Nd
0.250 0.250 0.855 N
0.750 0.750 0.145 N
0.250 0.750 0.500 O
0.750 0.250 0.500 O

***

NbZnCuSi, optimized geometry, DFT PBE; space-group type = F-43m
1.0
6.171 0.000 0.000
0.000 6.171 0.000
0.000 0.000 6.171
Nb Zn Cu Si
4 4 4 4
Direct
0.000 0.000 0.000 Nb
0.000 0.500 0.500 Nb
0.500 0.000 0.500 Nb
0.500 0.500 0.000 Nb
0.250 0.250 0.250 Zn
0.250 0.750 0.750 Zn
0.750 0.250 0.750 Zn
0.750 0.750 0.250 Zn
0.250 0.250 0.750 Cu
0.250 0.750 0.250 Cu
0.750 0.250 0.250 Cu
0.750 0.750 0.750 Cu
0.000 0.000 0.500 Si
0.000 0.500 0.000 Si
0.500 0.000 0.000 Si
0.500 0.500 0.500 Si

***

NdAgSO, optimized geometry, DFT PBE; space-group type = P2_1
1.0
5.830 0.000 0.000
0.000 5.831 0.000
-0.405 0.000 11.104
Nd Ag S O
4 4 4 4
Direct
0.005 0.000 0.103 Nd
0.493 0.001 0.896 Nd
0.507 0.501 0.104 Nd
0.995 0.500 0.897 Nd
0.194 0.274 0.497 Ag
0.499 0.021 0.299 Ag
0.501 0.521 0.701 Ag
0.806 0.774 0.503 Ag
0.209 0.306 0.286 S
0.213 0.237 0.709 S
0.787 0.737 0.291 S
0.791 0.806 0.714 S
0.250 0.750 0.000 O
0.252 0.249 0.000 O
0.748 0.749 0.000 O
0.750 0.250 0.000 O

***

YCdNO, optimized geometry, DFT PBE; space-group type = Pbcm
1.0
8.073 0.000 0.000
0.000 6.490 0.000
0.000 0.000 4.909
Y Cd N O
4 4 4 4
Direct
0.135 0.068 0.250 Y
0.135 0.432 0.750 Y
0.865 0.568 0.250 Y
0.865 0.932 0.750 Y
0.370 0.569 0.250 Cd
0.370 0.931 0.750 Cd
0.630 0.069 0.250 Cd
0.630 0.431 0.750 Cd
0.121 0.083 0.750 N
0.121 0.417 0.250 N
0.879 0.583 0.750 N
0.879 0.917 0.250 N
0.382 0.583 0.750 O
0.382 0.917 0.250 O
0.618 0.083 0.750 O
0.618 0.417 0.250 O

***

Y5Lu2Ni2Te2, optimized geometry, DFT PBE; space-group type = Imm2
1.0
-1.934 7.780 4.782
1.934 -7.780 4.782
1.934 7.780 -4.782
Y Lu Ni Te
5 2 2 2
Direct
0.000 0.000 0.000 Y
0.284 0.416 0.868 Y
0.548 0.416 0.132 Y
0.620 0.267 0.353 Y
0.915 0.267 0.647 Y
0.303 0.618 0.685 Lu
0.933 0.618 0.315 Lu
0.168 0.931 0.237 Ni
0.694 0.931 0.763 Ni
0.261 0.761 0.500 Te
0.664 0.664 0.000 Te

***

| no. | calculated total energy (eV/atom) |
| --- | --- |
| 1 | -5.529 |
| 2 | -7.298 |
| 3 | -4.756 |
| 4 | -6.019 |
| 5 | -6.531 |
| 6 | -6.041 |